Entry 1:
# K3SeF

K3SeF at its PBEsol-relaxed geometry (SCAN, Alexandria).

Cell: 5.070 5.070 5.070 Å, 90.00 90.00 90.00°
Space group Pm-3m (No. 221)
Asymmetric unit:
K 0.000 0.000 0.500 (multiplicity 3)
Se 0.500 0.500 0.500 (multiplicity 1)
F 0.000 0.000 0.000 (multiplicity 1)

## Properties
For the total moment, the calculation gives 0.00 μB per cell. The density of states at the Fermi level comes out at 0.0 states/eV per cell. For the raw formation energy, the calculation gives -9.67 eV per formula unit. Its crystal system is cubic.

Entry 2:
# YTlN2

YTlN2 at its PBEsol-relaxed geometry (SCAN, Alexandria).

Cell: 5.984 5.984 5.984 Å, 90.00 90.00 90.00°
Space group Fm-3m (No. 225)
Asymmetric unit:
Y 0.000 0.000 0.000 (multiplicity 4)
Tl 0.000 0.000 0.500 (multiplicity 4)
N 0.250 0.250 0.250 (multiplicity 8)

## Properties
For the total moment, the calculation gives 0.00 μB per cell. The value obtained for the relative energy among the computed polymorphs is 0.668 eV/atom. The density of states at the Fermi level comes out at 2.5 states/eV per cell. For the raw formation energy, the calculation gives 0.78 eV per formula unit. Its crystal system is cubic.

Entry 3:
# CaSb2Cl

CaSb2Cl at its PBEsol-relaxed geometry (SCAN, Alexandria).

Cell: 4.142 4.142 12.433 Å, 90.00 90.00 90.00°
Space group I4/mmm (No. 139)
Asymmetric unit:
Ca 0.000 0.000 0.000 (multiplicity 2)
Sb 0.000 0.500 0.250 (multiplicity 4)
Cl 0.000 0.000 0.500 (multiplicity 2)

## Properties
For the total moment, the calculation gives 0.00 μB per cell. The value obtained for the relative energy among the computed polymorphs is 0.000 eV/atom. The density of states at the Fermi level comes out at 2.6 states/eV per cell. For the raw formation energy, the calculation gives -3.92 eV per formula unit. Its crystal system is tetragonal.

Entry 4:
# BeReNi6

BeReNi6 at its PBEsol-relaxed geometry (SCAN, Alexandria).

Cell: 6.931 9.880 9.901 Å, 90.00 90.00 90.00°
Space group Cmmm (No. 65)
Asymmetric unit:
Be 0.000 0.000 0.238 (multiplicity 4)
Be 0.000 0.257 0.000 (multiplicity 4)
Re 0.000 0.252 0.500 (multiplicity 4)
Re 0.000 0.500 0.240 (multiplicity 4)
Ni 0.000 0.000 0.000 (multiplicity 2)
Ni 0.000 0.000 0.500 (multiplicity 2)
Ni 0.000 0.249 0.247 (multiplicity 8)
Ni 0.000 0.500 0.000 (multiplicity 2)
Ni 0.000 0.500 0.500 (multiplicity 2)
Ni 0.246 0.124 0.371 (multiplicity 16)
Ni 0.246 0.125 0.122 (multiplicity 16)

## Properties
For the total moment, the calculation gives 0.04 μB per cell. The density of states at the Fermi level comes out at 56.5 states/eV per cell. The value obtained for the energy relative to the elements is -43 meV/atom. Its crystal system is orthorhombic.

Entry 5:
# AlRu2Pb

AlRu2Pb at its PBEsol-relaxed geometry (SCAN, Alexandria).

Cell: 3.040 4.709 4.485 Å, 90.00 90.00 90.00°
Space group Pmm2 (No. 25)
Asymmetric unit:
Al 0.000 0.000 0.000 (multiplicity 1)
Ru 0.000 0.500 0.281 (multiplicity 1)
Ru 0.500 0.000 0.464 (multiplicity 1)
Pb 0.500 0.500 0.780 (multiplicity 1)

## Properties
For the total moment, the calculation gives 0.00 μB per cell. The value obtained for the relative energy among the computed polymorphs is 0.105 eV/atom. The density of states at the Fermi level comes out at 3.0 states/eV per cell. The value obtained for the energy relative to the elements is 217 meV/atom. Its crystal system is orthorhombic.

Entry 6:
# La2CdCo

La2CdCo at its PBEsol-relaxed geometry (SCAN, Alexandria).

Cell: 3.500 3.500 7.872 Å, 90.00 90.00 90.00°
Space group P4/mmm (No. 123)
Asymmetric unit:
La 0.000 0.000 0.205 (multiplicity 2)
Cd 0.500 0.500 0.500 (multiplicity 1)
Co 0.500 0.500 0.000 (multiplicity 1)

## Properties
For the total moment, the calculation gives 1.01 μB per cell. The density of states at the Fermi level comes out at 2.6 states/eV per cell. The value obtained for the energy relative to the elements is -197 meV/atom. Its crystal system is tetragonal.